No. 1
! Th4GaCo2, relaxed, DFT PBE-GGA; values from VASP
&SYSTEM
  ibrav = 0, nat = 14, ntyp = 3
/
ATOMIC_SPECIES
Th 232.04 Th.upf
Ga 69.72 Ga.upf
Co 58.93 Co.upf
ATOMIC_POSITIONS angstrom
Th 1.584 0.812 1.387
Th 4.856 5.658 1.387
Th 4.804 2.423 3.463
Th 7.241 4.880 4.151
Th 1.636 4.047 3.463
Th 5.640 8.060 4.151
Th 8.860 8.114 6.227
Th 10.461 11.295 6.227
Ga 3.220 3.235 0.693
Ga 6.440 6.470 6.920
Co 8.772 7.356 3.808
Co 11.992 8.818 5.884
Co 4.109 5.583 3.808
Co 7.329 10.591 5.884
CELL_PARAMETERS angstrom
0.000 6.470 4.151
6.440 0.000 4.151
6.440 6.470 0.000
! Total DFT energy (no corrections): -6.95 eV/atom
! Space-group type: Fdd2, No. 43

No. 2
! InHg4Os, relaxed, DFT PBE-GGA; values from VASP
&SYSTEM
  ibrav = 0, nat = 6, ntyp = 3
/
ATOMIC_SPECIES
In 114.82 In.upf
Hg 200.59 Hg.upf
Os 190.23 Os.upf
ATOMIC_POSITIONS angstrom
In 0.000 0.000 0.000
Hg 3.044 3.044 3.044
Hg 5.062 5.062 3.044
Hg 5.062 3.044 5.062
Hg 3.044 5.062 5.062
Os 6.080 6.080 6.080
CELL_PARAMETERS angstrom
0.000 4.053 4.053
4.053 0.000 4.053
4.053 4.053 0.000
! Total DFT energy (no corrections): -1.60 eV/atom
! Space-group type: F-43m, No. 216

No. 3
! Li9Mg2In, relaxed, DFT PBE-GGA; values from VASP
&SYSTEM
  ibrav = 0, nat = 12, ntyp = 3
/
ATOMIC_SPECIES
Li 6.94 Li.upf
Mg 24.30 Mg.upf
In 114.82 In.upf
ATOMIC_POSITIONS angstrom
Li 0.000 0.000 0.000
Li 0.000 0.000 4.274
Li 0.000 0.000 8.661
Li 0.000 2.133 2.060
Li 0.000 2.133 6.467
Li 0.000 2.133 10.874
Li 2.133 0.000 2.060
Li 2.133 0.000 6.467
Li 2.133 0.000 10.874
Mg 2.133 2.133 4.261
Mg 2.133 2.133 8.673
In 2.133 2.133 0.000
CELL_PARAMETERS angstrom
4.265 0.000 0.000
0.000 4.265 0.000
0.000 0.000 12.935
! Space-group type: P4/mmm, No. 123
! Polymorph energy (0 for the lowest one): 0.000 eV/atom

No. 4
! SrLaTe2, relaxed, DFT PBE-GGA; values from VASP
&SYSTEM
  ibrav = 0, nat = 4, ntyp = 3
/
ATOMIC_SPECIES
Sr 87.62 Sr.upf
La 138.91 La.upf
Te 127.60 Te.upf
ATOMIC_POSITIONS angstrom
Sr 0.000 0.000 0.000
La 3.997 3.997 3.997
Te 1.999 1.999 1.999
Te 5.996 5.996 5.996
CELL_PARAMETERS angstrom
0.000 3.997 3.997
3.997 0.000 3.997
3.997 3.997 0.000
! Space-group type: Fm-3m, No. 225
! ΔE_f (raw): -1.4041 eV per atom
! Polymorph energy (0 for the lowest one): 0.255 eV/atom

| no. | magnetic moment (μB per cell) | volume (Å³ per cell) |
| --- | --- | --- |
| 1 | 0.00 | 345.9 |
| 2 | 0.43 | 133.2 |
| 3 | 0.00 | 235.3 |
| 4 | 0.60 | 127.7 |